Record 1
KNiPd2: optimized geometry, GGA-PBE.

POSCAR file:
```
KNiPd2
1.0
-0.333 -1.083 4.508
-3.753 1.279 2.427
-3.065 -3.202 1.401
Ni K Pd
1 1 2
direct
0.500 0.500 0.500
0.000 0.000 0.000
0.250 0.250 0.250
0.750 0.750 0.750
```

## Properties
calculated volume: 17.76 A^3/atom
DFT formation energy: 2.3 eV/f.u.
uncorrected energy: -3.742 eV/atom
ΔE to the lowest computed polymorph: 90 meV per atom

Record 2
La2Sb2Te: optimized geometry, GGA-PBE.

POSCAR file:
```
La2Sb2Te
1.0
4.351 0.000 0.000
0.000 4.351 0.000
2.175 2.175 8.514
Sb Te La
2 1 2
direct
0.750 0.250 0.500
0.250 0.750 0.500
0.000 0.000 0.000
0.393 0.393 0.214
0.607 0.607 0.786
```

## Properties
calculated volume: 32.24 A^3/atom
raw formation energy: -1.032 eV/atom
uncorrected energy: -5.280 eV/atom
ΔE to the lowest computed polymorph: 75 meV per atom

Record 3
Ca2RhCl: optimized geometry, GGA-PBE.

POSCAR file:
```
Ca2RhCl
1.0
4.125 0.014 0.000
-0.014 4.125 0.000
0.000 0.000 5.665
Ca Rh Cl
2 1 1
direct
0.000 0.000 0.875
0.500 0.500 0.375
0.500 0.500 0.875
0.000 0.000 0.375
```

## Properties
calculated volume: 24.10 A^3/atom
raw formation energy: -0.953 eV/atom
uncorrected energy: -4.253 eV/atom
ΔE to the lowest computed polymorph: 110 meV per atom

Record 4
LaHfB2Ru: optimized geometry, GGA-PBE.

POSCAR file:
```
LaHfB2Ru
1.0
-2.168 -3.650 0.536
1.003 0.138 4.992
-3.591 2.231 0.660
Ru B Hf La
1 2 1 1
direct
0.000 0.000 0.000
0.000 0.000 0.500
0.500 0.000 0.000
0.500 0.500 0.500
0.000 0.500 0.000
```

## Properties
calculated volume: 18.65 A^3/atom
DFT formation energy: 4.8 eV/f.u.
uncorrected energy: -6.547 eV/atom

Record 5
Co2Re: optimized geometry, GGA-PBE.

POSCAR file:
```
Co2Re
1.0
4.843 -0.011 0.004
4.130 2.529 0.004
-7.461 -2.094 5.876
Co Re
4 2
direct
0.995 0.995 0.997
0.117 0.117 0.725
0.440 0.440 0.391
0.671 0.671 0.331
0.330 0.330 0.660
0.781 0.781 0.062
```

## Properties
calculated volume: 12.05 A^3/atom
DFT formation energy: 0.1 eV/f.u.
uncorrected energy: -8.854 eV/atom
ΔE to the lowest computed polymorph: 82 meV per atom

Record 6
SiB2SbIr: optimized geometry, GGA-PBE.

POSCAR file:
```
SiB2SbIr
1.0
-1.485 -2.623 2.720
4.615 -2.331 0.273
1.087 2.503 3.006
Sb Si Ir B
1 1 1 2
direct
0.500 0.500 0.500
0.000 0.500 0.000
0.000 0.000 0.000
0.000 0.000 0.500
0.500 0.000 0.000
```

## Properties
calculated volume: 17.07 A^3/atom
raw formation energy: 0.729 eV/atom
uncorrected energy: -5.623 eV/atom